Entry 1:
BaMgP3: optimized geometry, PBE-GGA.

abc: 5.592 5.592 5.592
angles: 90.00 90.00 90.00
Atoms (fractional coordinates):
Ba: 0.000 0.000 0.000
Mg: 0.500 0.500 0.500
P: 0.000 0.000 0.500
P: 0.000 0.500 0.000
P: 0.500 0.000 0.000

DFT formation energy: 1.28 eV per atom
relative energy among the computed polymorphs: 1300 meV/atom
space-group type: No. 221
calculated volume: 34.974 Å³/atom
mass density: 2417 kg/m³

Entry 2:
BaMg2P: optimized geometry, PBE-GGA.

abc: 3.580 3.580 8.376
angles: 90.00 90.00 90.00
Atoms (fractional coordinates):
Ba: 0.000 0.000 0.000
Mg: 0.500 0.500 0.333
Mg: 0.500 0.500 0.667
P: 0.000 0.000 0.500

DFT formation energy: -0.10 eV per atom
space-group type: No. 123
calculated volume: 26.838 Å³/atom
mass density: 3355 kg/m³

Entry 3:
Ba2MgP2: optimized geometry, PBE-GGA.

abc: 8.154 8.154 8.154
angles: 128.28 72.55 132.88
Atoms (fractional coordinates):
Ba: 0.143 0.172 0.316
Ba: 0.357 0.672 0.029
Ba: 0.643 0.328 0.971
Ba: 0.857 0.828 0.684
Mg: 0.250 0.750 0.500
Mg: 0.750 0.250 0.500
P: 0.108 0.711 0.818
P: 0.392 0.211 0.603
P: 0.608 0.789 0.397
P: 0.892 0.289 0.182

DFT formation energy: -0.98 eV per atom
space-group type: No. 72
calculated volume: 30.488 Å³/atom
mass density: 3931 kg/m³

Entry 4:
BaMg2P: optimized geometry, PBE-GGA.

abc: 5.685 5.685 5.685
angles: 132.32 109.84 89.27
Atoms (fractional coordinates):
Ba: 0.000 0.000 0.000
Mg: 0.440 0.440 0.000
Mg: 0.664 0.164 0.500
P: 0.310 0.810 0.500

DFT formation energy: -0.22 eV per atom
space-group type: No. 44
calculated volume: 30.371 Å³/atom
mass density: 2965 kg/m³

Entry 5:
BaMg2P2: optimized geometry, PBE-GGA.

abc: 6.877 6.877 7.786
angles: 123.08 123.08 76.07
Atoms (fractional coordinates):
Ba: 0.124 0.876 0.750
Ba: 0.876 0.124 0.250
Mg: 0.243 0.493 0.986
Mg: 0.493 0.243 0.486
Mg: 0.507 0.757 0.514
Mg: 0.757 0.507 0.014
P: 0.174 0.427 0.252
P: 0.427 0.174 0.752
P: 0.573 0.826 0.248
P: 0.826 0.573 0.748

DFT formation energy: -0.88 eV per atom
space-group type: No. 15
calculated volume: 25.770 Å³/atom
mass density: 3195 kg/m³

Entry 6:
Ba2Mg2PaP4: optimized geometry, PBE-GGA.

abc: 7.978 7.978 7.568
angles: 108.23 108.23 30.82
Atoms (fractional coordinates):
Ba: 0.130 0.130 0.061
Ba: 0.870 0.870 0.939
Mg: 0.324 0.324 0.508
Mg: 0.676 0.676 0.492
Pa: 0.000 0.000 0.500
P: 0.201 0.201 0.688
P: 0.486 0.486 0.739
P: 0.514 0.514 0.261
P: 0.799 0.799 0.312

DFT formation energy: -0.98 eV per atom
space-group type: No. 12
calculated volume: 25.938 Å³/atom
mass density: 4824 kg/m³

Entry 7:
Ba3MgPa2P6: optimized geometry, PBE-GGA.

abc: 7.285 7.285 7.643
angles: 99.04 99.04 119.96
Atoms (fractional coordinates):
Ba: 0.000 0.000 0.000
Ba: 0.339 0.661 0.000
Ba: 0.661 0.339 0.000
Mg: 0.500 0.500 0.500
Pa: 0.168 0.832 0.500
Pa: 0.832 0.168 0.500
P: 0.085 0.433 0.298
P: 0.219 0.219 0.697
P: 0.433 0.085 0.298
P: 0.567 0.915 0.702
P: 0.781 0.781 0.303
P: 0.915 0.567 0.702

DFT formation energy: -1.03 eV per atom
space-group type: No. 12
calculated volume: 27.806 Å³/atom
mass density: 5396 kg/m³

Entry 8:
BaMgPPd: optimized geometry, PBE-GGA.

abc: 4.166 4.166 11.564
angles: 90.00 90.00 90.00
Atoms (fractional coordinates):
Ba: 0.250 0.250 0.215
Ba: 0.750 0.750 0.785
Mg: 0.250 0.750 0.500
Mg: 0.750 0.250 0.500
P: 0.250 0.250 0.632
P: 0.750 0.750 0.368
Pd: 0.250 0.750 0.000
Pd: 0.750 0.250 0.000

DFT formation energy: -0.67 eV per atom
space-group type: No. 129
calculated volume: 25.084 Å³/atom
mass density: 4949 kg/m³

Entry 9:
BaMgP2Pd4: optimized geometry, PBE-GGA.

abc: 4.153 4.153 9.501
angles: 90.00 90.00 90.00
Atoms (fractional coordinates):
Ba: 0.000 0.000 0.000
Mg: 0.000 0.000 0.500
P: 0.500 0.500 0.200
P: 0.500 0.500 0.800
Pd: 0.000 0.500 0.315
Pd: 0.000 0.500 0.685
Pd: 0.500 0.000 0.315
Pd: 0.500 0.000 0.685

DFT formation energy: -0.64 eV per atom
space-group type: No. 123
calculated volume: 20.480 Å³/atom
mass density: 6580 kg/m³

Entry 10:
BaMgPPd2: optimized geometry, PBE-GGA.

abc: 4.940 4.940 4.963
angles: 90.00 90.00 90.00
Atoms (fractional coordinates):
Ba: 0.000 0.000 0.000
Mg: 0.500 0.500 0.500
P: 0.500 0.500 0.000
Pd: 0.000 0.500 0.500
Pd: 0.500 0.000 0.500

DFT formation energy: -0.14 eV per atom
space-group type: No. 123
calculated volume: 24.219 Å³/atom
mass density: 5560 kg/m³

Entry 11:
Ba2MgP3Pt12: optimized geometry, PBE-GGA.

abc: 7.776 7.776 7.776
angles: 65.65 65.65 65.65
Atoms (fractional coordinates):
Ba: 0.110 0.110 0.110
Ba: 0.890 0.890 0.890
Mg: 0.500 0.500 0.500
P: 0.000 0.500 0.500
P: 0.500 0.000 0.500
P: 0.500 0.500 0.000
Pt: 0.133 0.620 0.620
Pt: 0.168 0.168 0.590
Pt: 0.168 0.590 0.168
Pt: 0.380 0.380 0.867
Pt: 0.380 0.867 0.380
Pt: 0.410 0.832 0.832
Pt: 0.590 0.168 0.168
Pt: 0.620 0.133 0.620
Pt: 0.620 0.620 0.133
Pt: 0.832 0.410 0.832
Pt: 0.832 0.832 0.410
Pt: 0.867 0.380 0.380

DFT formation energy: -0.38 eV per atom
space-group type: No. 166
calculated volume: 20.734 Å³/atom
mass density: 12160 kg/m³

Entry 12:
BaMgPRh2: optimized geometry, PBE-GGA.

abc: 5.080 5.080 5.640
angles: 90.00 90.00 90.00
Atoms (fractional coordinates):
Ba: 0.000 0.000 0.000
Mg: 0.500 0.500 0.500
P: 0.000 0.000 0.500
Rh: 0.000 0.500 0.000
Rh: 0.500 0.000 0.000

DFT formation energy: 1.47 eV per atom
space-group type: No. 123
calculated volume: 29.111 Å³/atom
mass density: 4545 kg/m³

> What is the calculated volume in the twelfth record?

29.111 Å³/atom

> Among the records above, which one has the lowest mass density?

BaMgP3